(1)
Compound: PmPr14Y
Source: Alexandria via LeMat-Bulk
Functional: PBE
Structure: optimized geometry

Results
SG: P4/mmm

Unit cell a=7.399 b=7.399 c=10.488 alpha=90.00 beta=90.00 gamma=90.02
Sites, in units of the cell vectors:
Pm  0.875  0.125  0.000
Pr  0.375  0.625  0.500
Pr  0.875  0.125  0.500
Pr  0.875  0.625  0.000
Pr  0.875  0.625  0.500
Pr  0.375  0.125  0.000
Pr  0.375  0.125  0.500
Pr  0.624  0.874  0.752
Pr  0.624  0.874  0.248
Pr  0.126  0.376  0.752
Pr  0.126  0.376  0.248
Pr  0.126  0.874  0.752
Pr  0.126  0.874  0.248
Pr  0.624  0.376  0.751
Pr  0.624  0.376  0.249
Y  0.375  0.625  0.000

(2)
Compound: Pm3Pr2Y
Source: Alexandria via LeMat-Bulk
Functional: PBE
Structure: optimized geometry

Results
SG: C2/m
Energy relative to the lowest polymorph listed for this composition (eV/atom): 0.000

Unit cell a=5.781 b=9.193 c=10.022 alpha=122.96 beta=90.00 gamma=108.33
Sites, in units of the cell vectors:
Pm  0.251  0.501  0.588
Pm  0.001  0.002  0.669
Pm  0.624  0.249  0.619
Pm  0.376  0.751  0.381
Pm  0.999  0.998  0.331
Pm  0.749  0.499  0.412
Pr  0.501  0.003  0.836
Pr  0.499  0.997  0.164
Pr  0.749  0.499  0.078
Pr  0.251  0.501  0.922
Y  0.875  0.750  0.871
Y  0.125  0.250  0.129

(3)
Compound: Pm2Pr8Y
Source: Alexandria via LeMat-Bulk
Functional: PBE
Structure: optimized geometry

Results
SG: C2/m
Energy relative to the lowest polymorph listed for this composition (eV/atom): 0.026

Unit cell a=6.083 b=9.294 c=9.617 alpha=61.10 beta=74.48 gamma=56.37
Sites, in units of the cell vectors:
Pm  0.000  0.309  0.382
Pm  0.000  0.691  0.618
Pr  0.820  0.098  0.235
Pr  0.820  0.333  0.765
Pr  0.297  0.422  0.000
Pr  0.500  0.794  0.411
Pr  0.500  0.206  0.589
Pr  0.703  0.578  0.000
Pr  0.180  0.667  0.235
Pr  0.180  0.902  0.765
Y  0.500  0.000  0.000

(4)
Compound: Pm2Pr6Y
Source: Alexandria via LeMat-Bulk
Functional: PBE
Structure: optimized geometry

Results
SG: P4_2/mnm
Energy relative to the lowest polymorph listed for this composition (eV/atom): 0.462

Unit cell a=8.367 b=8.367 c=10.649 alpha=90.00 beta=90.00 gamma=90.00
Sites, in units of the cell vectors:
Pm  0.000  0.000  0.332
Pm  0.500  0.500  0.832
Pm  0.500  0.500  0.168
Pm  0.000  0.000  0.668
Pr  0.261  0.261  0.333
Pr  0.739  0.739  0.333
Pr  0.239  0.761  0.833
Pr  0.761  0.239  0.833
Pr  0.239  0.761  0.167
Pr  0.761  0.239  0.167
Pr  0.261  0.261  0.667
Pr  0.739  0.739  0.667
Pr  0.262  0.262  0.000
Pr  0.738  0.738  0.000
Pr  0.238  0.762  0.500
Pr  0.762  0.238  0.500
Y  0.000  0.000  0.000
Y  0.500  0.500  0.500

(5)
Compound: Pm4PrY2
Source: Alexandria via LeMat-Bulk
Functional: PBE
Structure: optimized geometry

Results
SG: Fdd2
Energy relative to the lowest polymorph listed for this composition (eV/atom): 0.000

Unit cell a=12.649 b=12.649 c=6.853 alpha=97.03 beta=97.03 gamma=150.16
Sites, in units of the cell vectors:
Pm  0.716  0.182  0.874
Pm  0.182  0.716  0.374
Pm  0.184  0.789  0.901
Pm  0.789  0.184  0.401
Pm  0.032  0.138  0.599
Pm  0.558  0.593  0.126
Pm  0.593  0.558  0.626
Pm  0.138  0.032  0.099
Pr  0.433  0.683  0.500
Pr  0.683  0.433  0.000
Y  0.619  0.301  0.443
Y  0.926  0.108  0.057
Y  0.108  0.926  0.557
Y  0.301  0.619  0.943

(6)
Compound: Pm7Pr4Y
Source: Alexandria via LeMat-Bulk
Functional: PBE
Structure: optimized geometry

Results
SG: C2/m
Energy relative to the lowest polymorph listed for this composition (eV/atom): 0.225

Unit cell a=6.115 b=11.934 c=6.842 alpha=83.85 beta=63.45 gamma=75.16
Sites, in units of the cell vectors:
Pm  0.787  0.922  0.504
Pm  0.213  0.078  0.496
Pm  0.066  0.684  0.183
Pm  0.934  0.316  0.817
Pm  0.369  0.498  0.764
Pm  0.500  0.000  0.000
Pm  0.631  0.502  0.236
Pr  0.641  0.222  0.497
Pr  0.359  0.778  0.503
Pr  0.769  0.672  0.790
Pr  0.231  0.328  0.210
Y  0.000  0.000  0.000

(7)
Compound: Pm2Pr5Y12
Source: Alexandria via LeMat-Bulk
Functional: PBE
Structure: optimized geometry

Results
SG: P-1
Energy relative to the lowest polymorph listed for this composition (eV/atom): 0.000

Unit cell a=6.884 b=14.083 c=15.675 alpha=153.19 beta=86.92 gamma=100.99
Sites, in units of the cell vectors:
Pm  0.739  0.924  0.939
Pm  0.261  0.076  0.061
Pr  0.265  0.571  0.565
Pr  0.574  0.008  0.399
Pr  0.000  0.000  0.500
Pr  0.426  0.992  0.601
Pr  0.735  0.429  0.435
Y  0.962  0.029  0.237
Y  0.138  0.608  0.002
Y  0.612  0.519  0.911
Y  0.061  0.462  0.260
Y  0.613  0.611  0.384
Y  0.558  0.073  0.880
Y  0.442  0.927  0.120
Y  0.939  0.538  0.740
Y  0.387  0.389  0.616
Y  0.862  0.392  0.998
Y  0.388  0.481  0.089
Y  0.038  0.971  0.763

(8)
Compound: PmPr8Y3
Source: Alexandria via LeMat-Bulk
Functional: PBE
Structure: optimized geometry

Results
SG: I-42m

Unit cell a=8.582 b=8.582 c=8.582 alpha=94.01 beta=117.71 gamma=117.71
Sites, in units of the cell vectors:
Pm  0.000  0.000  0.000
Pr  0.501  0.254  0.254
Pr  0.499  0.753  0.753
Pr  0.000  0.746  0.247
Pr  0.000  0.247  0.746
Pr  0.248  0.374  0.374
Pr  0.752  0.126  0.126
Pr  0.000  0.626  0.874
Pr  0.000  0.874  0.626
Y  0.500  0.750  0.250
Y  0.500  0.250  0.750
Y  0.000  0.500  0.500

(9)
Compound: Pm4PrY
Source: Alexandria via LeMat-Bulk
Functional: PBE
Structure: optimized geometry

Results
SG: C2/m
Energy relative to the lowest polymorph listed for this composition (eV/atom): 0.088

Unit cell a=6.457 b=6.457 c=6.095 alpha=89.58 beta=89.58 gamma=54.57
Sites, in units of the cell vectors:
Pm  0.324  0.324  0.952
Pm  0.676  0.676  0.048
Pm  0.824  0.824  0.548
Pm  0.176  0.176  0.452
Pr  0.500  0.500  0.500
Y  0.000  0.000  0.000

(10)
Compound: Pm3Pr4Y3
Source: Alexandria via LeMat-Bulk
Functional: PBE
Structure: optimized geometry

Results
SG: Amm2

Unit cell a=3.895 b=9.485 c=9.485 alpha=89.69 beta=90.00 gamma=90.00
Sites, in units of the cell vectors:
Pm  0.000  0.504  0.002
Pm  0.000  0.998  0.496
Pm  0.500  0.168  0.832
Pr  0.000  0.629  0.371
Pr  0.000  0.370  0.630
Pr  0.000  0.869  0.869
Pr  0.000  0.131  0.131
Y  0.500  0.831  0.169
Y  0.500  0.331  0.331
Y  0.500  0.669  0.669

(11)
Compound: Pm2PrY8
Source: Alexandria via LeMat-Bulk
Functional: PBE
Structure: optimized geometry

Results
SG: C2/m
Energy relative to the lowest polymorph listed for this composition (eV/atom): 0.009

Unit cell a=6.722 b=6.698 c=8.999 alpha=111.85 beta=98.43 gamma=90.00
Sites, in units of the cell vectors:
Pm  0.309  0.245  0.490
Pm  0.691  0.755  0.510
Pr  0.000  0.000  0.000
Y  0.594  0.173  0.821
Y  0.406  0.352  0.179
Y  0.802  0.205  0.411
Y  0.198  0.795  0.589
Y  0.594  0.648  0.821
Y  0.406  0.827  0.179
Y  0.097  0.412  0.824
Y  0.903  0.588  0.176

(12)
Compound: Pm6Pr4Y
Source: Alexandria via LeMat-Bulk
Functional: PBE
Structure: optimized geometry

Results
SG: I-42m
Energy relative to the lowest polymorph listed for this composition (eV/atom): 0.098

Unit cell a=7.721 b=7.721 c=8.723 alpha=116.27 beta=116.27 gamma=90.00
Sites, in units of the cell vectors:
Pm  0.916  0.459  0.375
Pm  0.459  0.916  0.375
Pm  0.541  0.541  0.625
Pm  0.000  0.500  0.000
Pm  0.084  0.084  0.625
Pm  0.500  0.000  0.000
Pr  0.095  0.747  0.841
Pr  0.905  0.905  0.159
Pr  0.747  0.095  0.841
Pr  0.253  0.253  0.159
Y  0.500  0.500  0.000

Number 1: E_form 0.2 eV/f.u.. Number 2: E_form 0.3 eV/f.u.. Number 3: E_form 1.5 eV/f.u.. Number 4: E_form 5.3 eV/f.u.. Number 5: E_form 0.4 eV/f.u.. Number 6: E_form 2.9 eV/f.u.. Number 7: E_form 2.1 eV/f.u.. Number 8: E_form 6.7 eV/f.u.. Number 9: E_form 0.6 eV/f.u.. Number 10: E_form 1.0 eV/f.u.. Number 11: E_form 1.8 eV/f.u.. Number 12: E_form 4.1 eV/f.u..